(1)
The following is a DFT calculation (PBE-GGA) of a relaxed LiAcAu crystal.

Summary:
Energy   -3.651 eV per atom
Total magnetic moment   0.0000 μB per atom
Formation enthalpy at 0 K   -159.5 kJ/mol of formula units
Space-group type   P-6m2 (187)
Energy above the lowest structure with this stoichiometry   0.000 eV per atom
ρ   9.2 g/cm³

Cell lengths 4.6519, 4.6519, 4.1661 Å; angles 90.00, 90.00, 120.00 degrees
Last column: nearest neighbours and their distance in Å.
Sites, in units of the cell vectors:
Li  0.0000  0.0000  0.0000  3 Au 2.69
Ac  0.3333  0.6667  0.5000  6 Li 3.40, 6 Au 3.40
Au  0.6667  0.3333  0.0000  3 Li 2.69

---

(2)
The following is a DFT calculation (PBE-GGA) of a relaxed Li3AcAu crystal.

Summary:
Energy   -2.765 eV per atom
Total magnetic moment   0.0000 μB per atom
Formation enthalpy at 0 K   -67.5 kJ/mol of formula units
Space-group type   I-4m2 (119)
Energy above the lowest structure with this stoichiometry   0.164 eV per atom
ρ   5.2 g/cm³

Cell lengths 9.7087, 9.7087, 9.7087 Å; angles 145.91, 145.91, 48.97 degrees
Last column: nearest neighbours and their distance in Å.
Sites, in units of the cell vectors:
Li  0.1084  0.3686  0.7398  2 Au 2.50-2.75, 1 Li 2.73
Li  0.2174  0.2174  0.0000  2 Au 2.90, 2 Li 3.06
Li  0.6287  0.3686  0.2602  2 Au 2.50-2.75, 1 Li 2.73
Li  0.6314  0.3713  0.7398  2 Au 2.50-2.75, 1 Li 2.73
Li  0.6314  0.8916  0.2602  2 Au 2.50-2.75, 1 Li 2.73
Li  0.7826  0.7826  0.0000  2 Au 2.90, 2 Li 3.06
Ac  0.0613  0.5613  0.5000  2 Au 3.04
Ac  0.4387  0.9387  0.5000  2 Au 3.04
Au  0.5000  0.5000  0.0000  4 Li 2.75, 4 Ac 3.04
Au  0.7500  0.2500  0.5000  4 Li 2.50

---

(3)
The following is a DFT calculation (PBE-GGA) of a relaxed Li2AcAu crystal.

Summary:
Energy   -2.967 eV per atom
Total magnetic moment   0.1325 μB per atom
Formation enthalpy at 0 K   -63.3 kJ/mol of formula units
Space-group type   Fm-3m (225)
Energy above the lowest structure with this stoichiometry   0.250 eV per atom
ρ   8.2 g/cm³

Cell lengths 7.0843, 7.0843, 7.0843 Å; angles 90.00, 90.00, 90.00 degrees
Last column: nearest neighbours and their distance in Å.
Sites, in units of the cell vectors:
Li  0.2500  0.2500  0.2500  4 Au 3.07, 4 Ac 3.07
Li  0.2500  0.2500  0.7500  4 Ac 3.07, 4 Au 3.07
Li  0.2500  0.7500  0.2500  4 Ac 3.07, 4 Au 3.07
Li  0.2500  0.7500  0.7500  4 Ac 3.07, 4 Au 3.07
Li  0.7500  0.2500  0.2500  4 Ac 3.07, 4 Au 3.07
Li  0.7500  0.2500  0.7500  4 Ac 3.07, 4 Au 3.07
Li  0.7500  0.7500  0.2500  4 Ac 3.07, 4 Au 3.07
Li  0.7500  0.7500  0.7500  4 Ac 3.07, 4 Au 3.07
Ac  0.0000  0.0000  0.0000  8 Li 3.07
Ac  0.0000  0.5000  0.5000  8 Li 3.07
Ac  0.5000  0.0000  0.5000  8 Li 3.07
Ac  0.5000  0.5000  0.0000  8 Li 3.07
Au  0.0000  0.0000  0.5000  8 Li 3.07
Au  0.0000  0.5000  0.0000  8 Li 3.07
Au  0.5000  0.0000  0.0000  8 Li 3.07
Au  0.5000  0.5000  0.5000  8 Li 3.07

---

(4)
The following is a DFT calculation (PBE-GGA) of a relaxed LiAc3Au4 crystal.

Summary:
Energy   -4.117 eV per atom
Total magnetic moment   0.0000 μB per atom
Formation enthalpy at 0 K   -539.4 kJ/mol of formula units
Space-group type   Immm (71)
ρ   10.3 g/cm³

Cell lengths 4.4041, 7.1370, 15.1996 Å; angles 90.00, 90.00, 90.00 degrees
Last column: nearest neighbours and their distance in Å.
Sites, in units of the cell vectors:
Li  0.0000  0.0000  0.0000  4 Au 2.69
Li  0.5000  0.5000  0.5000  4 Au 2.69
Ac  0.0000  0.0000  0.5000  8 Au 3.23
Ac  0.0000  0.5000  0.3030  6 Au 3.22
Ac  0.0000  0.5000  0.6970  6 Au 3.22
Ac  0.5000  0.0000  0.1970  6 Au 3.22
Ac  0.5000  0.0000  0.8030  6 Au 3.22
Ac  0.5000  0.5000  0.0000  8 Au 3.23
Au  0.0000  0.2828  0.1171  1 Li 2.69
Au  0.0000  0.2828  0.8829  1 Li 2.69
Au  0.0000  0.7172  0.1171  1 Li 2.69
Au  0.0000  0.7172  0.8829  1 Li 2.69
Au  0.5000  0.2172  0.3829  1 Li 2.69
Au  0.5000  0.2172  0.6171  1 Li 2.69
Au  0.5000  0.7828  0.3829  1 Li 2.69
Au  0.5000  0.7828  0.6171  1 Li 2.69